Compound: ReAuI2
Source: the Alexandria database
Functional: meta-GGA SCAN
Structure: single point on PBEsol structure

a = 6.902 Å, b = 6.902 Å, c = 6.902 Å
α = 90.00°, β = 90.00°, γ = 90.00°
Space group Fm-3m (No. 225)
Asymmetric unit:
Re  0.000  0.000  0.000 x4
Au  0.000  0.000  0.500 x4
I  0.250  0.250  0.250 x8

## Properties
Uncorrected energy (eV per atom): -51.98
Raw formation energy (eV/atom): 1.455

***

Compound: TeRhAuI2
Source: the Alexandria database
Functional: meta-GGA SCAN
Structure: single point on PBEsol structure

a = 5.421 Å, b = 5.421 Å, c = 5.386 Å
α = 90.00°, β = 90.00°, γ = 90.00°
Space group P4/mmm (No. 123)
Asymmetric unit:
Te  0.000  0.000  0.000 x1
Rh  0.500  0.500  0.000 x1
Au  0.000  0.000  0.500 x1
I  0.000  0.500  0.500 x2

## Properties
Uncorrected energy (eV per atom): -41.78
Raw formation energy (eV/atom): 0.949

***

Compound: SbTeAuI2
Source: the Alexandria database
Functional: meta-GGA SCAN
Structure: single point on PBEsol structure

a = 5.395 Å, b = 5.395 Å, c = 5.463 Å
α = 90.00°, β = 90.00°, γ = 90.00°
Space group P4/mmm (No. 123)
Asymmetric unit:
Sb  0.000  0.000  0.000 x1
Te  0.500  0.500  0.000 x1
Au  0.500  0.500  0.500 x1
I  0.000  0.500  0.500 x2

## Properties
Uncorrected energy (eV per atom): -43.01
Raw formation energy (eV/atom): 0.417

***

Compound: SbTe2AuI
Source: the Alexandria database
Functional: meta-GGA SCAN
Structure: single point on PBEsol structure

a = 5.674 Å, b = 5.674 Å, c = 5.671 Å
α = 90.00°, β = 90.00°, γ = 90.00°
Space group P4/mmm (No. 123)
Asymmetric unit:
Sb  0.000  0.000  0.000 x1
Te  0.000  0.500  0.000 x2
Au  0.500  0.500  0.500 x1
I  0.000  0.000  0.500 x1

## Properties
Uncorrected energy (eV per atom): -42.74
Raw formation energy (eV/atom): 0.790

***

> Which of these has the highest uncorrected energy?

TeRhAuI2

***

> Which value of uncorrected energy does entry 1 give?

-51.98 eV per atom

***

> raw formation energy of number 1 (ReAuI2)?

1.455 eV/atom